No. 1
Entry from the Alexandria database: an optimized crystal structure of EuRhI2 (PBE).

Structure (extended XYZ):
```
4
Lattice="2.0906 1.2070 9.3168 -2.0906 1.2070 9.3168 0.0000 -2.4141 9.3168" Properties=species:S:1:pos:R:3 pbc="T T T"
Eu 0.0000 0.0000 0.0000
Rh 0.0000 0.0000 13.9752
I 0.0000 0.0000 3.1860
I 0.0000 0.0000 24.7644
```

Values from the calculation:
**Magnetization**: 5.92 μB per cell
**DOS at the Fermi energy**: 0.5120 states/eV per atom
**E**: -21.27 eV/f.u.
**SG**: R-3m, No. 166

No. 2
Entry from the Alexandria database: an optimized crystal structure of EuSI (PBE).

Structure (extended XYZ):
```
3
Lattice="4.4100 0.0000 0.0000 -2.2050 3.8192 0.0000 0.0000 0.0000 6.5438" Properties=species:S:1:pos:R:3 pbc="T T T"
Eu 0.0000 0.0000 0.0000
S 2.2050 1.2731 1.0848
I 0.0000 2.5461 4.5164
```

Values from the calculation:
**Magnetization**: 6.00 μB per cell
**DOS at the Fermi energy**: 1.6382 states/eV per atom
**Relative energy among the computed polymorphs**: 0 meV/atom
**SG**: P3m1, No. 156